Material: CaCoAg2
Method: DFT, GGA-PBEsol
State: optimized geometry

Cell: 3.1713 3.5555 6.3931 Å, 90.00 90.00 90.00°
Atoms (fractional coordinates):
Ca: 0.0000 0.0000 0.5139
Ag: 0.0000 0.0000 0.9788
Ag: 0.5000 0.5000 0.2121
Co: 0.5000 0.5000 0.7952

The calculation puts the energy of formation at 0.254 eV/atom. As for the space group: Pmm2. Its excess energy over the best structure of this formula in the dataset is 0.0000 eV per atom. For the spin magnetization, the calculation gives 1.34 μB per formula unit.